Here is KTaNF2 after structural relaxation from the Alexandria database. Energies are from PBE.

Calculated values
- Volume: 75.1 Å³ per cell
- DOS at the Fermi energy: 0.17 states/eV/atom
- Symmetry: P4/mmm (123)
- Density: 6.02 g cm⁻³
- Polymorph energy (0 for the lowest one): 0 meV per atom

Cell: 4.324 4.324 4.016 Å, 90.00 90.00 90.00°
Positions (direct):
K 0.000 0.000 0.000
Ta 0.500 0.500 0.500
N 0.500 0.500 0.000
F 0.000 0.500 0.500
F 0.500 0.000 0.500